Entry 1:
The following is a DFT calculation (PBE) of a relaxed BaMg2Zn2 crystal.

abc: 4.979 4.979 21.601
angles: 90.00 90.00 90.00
Space group I4/mmm (No. 139)
Inequivalent atoms, fractional coordinates:
Ba1 0.000 0.000 0.134 (multiplicity 4)
Mg1 0.000 0.000 0.310 (multiplicity 4)
Mg2 0.000 0.500 0.000 (multiplicity 4)
Zn1 0.000 0.000 0.438 (multiplicity 4)
Zn2 0.000 0.500 0.250 (multiplicity 4)

Calculated values
Total energy = -1.643 eV per atom
Total moment = 0.00 μB per formula unit
Fermi-level density of states = 4.13 states/eV/f.u.
Energy relative to the elements = -10.74 kJ/mol of atoms

---

Entry 2:
The following is a DFT calculation (PBE) of a relaxed BaMgZr3 crystal.

abc: 5.316 5.316 5.316
angles: 90.00 90.00 90.00
Space group Pm-3m (No. 221)
Inequivalent atoms, fractional coordinates:
Ba1 0.000 0.000 0.000 (multiplicity 1)
Mg1 0.500 0.500 0.500 (multiplicity 1)
Zr1 0.000 0.000 0.500 (multiplicity 3)

Calculated values
Total energy = -4.216 eV per atom
Total moment = 1.00 μB per formula unit
Fermi-level density of states = 5.83 states/eV/f.u.
Energy relative to the elements = 155.93 kJ/mol of atoms

---

Entry 3:
The following is a DFT calculation (PBE) of a relaxed BaMgZr2 crystal.

abc: 11.686 3.273 5.865
angles: 90.00 99.43 90.00
Space group C2/m (No. 12)
Inequivalent atoms, fractional coordinates:
Ba1 0.000 0.000 0.000 (multiplicity 2)
Mg1 0.000 0.500 0.500 (multiplicity 2)
Zr1 0.233 0.000 0.715 (multiplicity 4)

Calculated values
Total energy = -4.747 eV per atom
Total moment = 0.00 μB per formula unit
Fermi-level density of states = 4.60 states/eV/f.u.
Energy relative to the elements = 39.24 kJ/mol of atoms

---

Entry 4:
The following is a DFT calculation (PBE) of a relaxed BaMgZr2 crystal.

abc: 10.568 3.262 6.885
angles: 90.00 96.35 90.00
Space group Cm (No. 8)
Inequivalent atoms, fractional coordinates:
Ba1 0.000 0.000 0.000 (multiplicity 2)
Mg1 0.244 0.000 0.705 (multiplicity 2)
Zr1 0.001 0.500 0.482 (multiplicity 2)
Zr2 0.268 0.500 0.334 (multiplicity 2)

Calculated values
Total energy = -4.780 eV per atom
Total moment = 0.00 μB per formula unit
Fermi-level density of states = 4.40 states/eV/f.u.
Energy relative to the elements = 36.06 kJ/mol of atoms

---

Entry 5:
The following is a DFT calculation (PBE) of a relaxed BaMgZr2 crystal.

abc: 4.653 4.653 10.163
angles: 90.00 90.00 90.00
Space group I4/mmm (No. 139)
Inequivalent atoms, fractional coordinates:
Ba1 0.000 0.000 0.000 (multiplicity 2)
Mg1 0.000 0.000 0.500 (multiplicity 2)
Zr1 0.000 0.500 0.250 (multiplicity 4)

Calculated values
Total energy = -4.593 eV per atom
Total moment = 0.00 μB per formula unit
Fermi-level density of states = 5.83 states/eV/f.u.
Energy relative to the elements = 54.06 kJ/mol of atoms

---

Entry 6:
The following is a DFT calculation (PBE) of a relaxed BaMgZr2 crystal.

abc: 3.359 5.883 11.613
angles: 90.00 90.00 90.00
Space group Imm2 (No. 44)
Inequivalent atoms, fractional coordinates:
Ba1 0.000 0.000 0.000 (multiplicity 2)
Mg1 0.000 0.500 0.773 (multiplicity 2)
Zr1 0.000 0.000 0.507 (multiplicity 2)
Zr2 0.000 0.500 0.220 (multiplicity 2)

Calculated values
Total energy = -4.645 eV per atom
Total moment = 0.00 μB per formula unit
Fermi-level density of states = 6.01 states/eV/f.u.
Energy relative to the elements = 49.08 kJ/mol of atoms

---

Entry 7:
The following is a DFT calculation (PBE) of a relaxed BaMgZr2 crystal.

abc: 3.3003 3.3003 34.6011
angles: 90.00 90.00 120.00
Space group R-3m (No. 166, hexagonal axes)
Inequivalent atoms, fractional coordinates:
Ba1 0.0000 0.0000 0.0000 (multiplicity 3)
Mg1 0.0000 0.0000 0.5000 (multiplicity 3)
Zr1 0.0000 0.0000 0.2428 (multiplicity 6)

Calculated values
Total energy = -4.679 eV per atom
Total moment = 0.00 μB per formula unit
Fermi-level density of states = 4.49 states/eV/f.u.
Energy relative to the elements = 45.78 kJ/mol of atoms

---

Entry 8:
The following is a DFT calculation (PBE) of a relaxed BaMg3Zr crystal.

abc: 5.703 5.703 5.703
angles: 90.00 90.00 90.00
Space group Pm-3m (No. 221)
Inequivalent atoms, fractional coordinates:
Ba1 0.000 0.000 0.000 (multiplicity 1)
Mg1 0.000 0.500 0.500 (multiplicity 3)
Zr1 0.500 0.500 0.500 (multiplicity 1)

Calculated values
Total energy = -2.497 eV per atom
Total moment = 3.50 μB per formula unit
Fermi-level density of states = 6.81 states/eV/f.u.
Energy relative to the elements = 53.45 kJ/mol of atoms

---

Entry 9:
The following is a DFT calculation (PBE) of a relaxed BaMgZr3 crystal.

abc: 5.344 5.344 5.344
angles: 90.00 90.00 90.00
Space group Pm-3m (No. 221)
Inequivalent atoms, fractional coordinates:
Ba1 0.000 0.000 0.000 (multiplicity 1)
Mg1 0.500 0.500 0.500 (multiplicity 1)
Zr1 0.000 0.500 0.500 (multiplicity 3)

Calculated values
Total energy = -4.822 eV per atom
Total moment = 0.00 μB per formula unit
Fermi-level density of states = 8.62 states/eV/f.u.
Energy relative to the elements = 97.45 kJ/mol of atoms

---

Entry 10:
The following is a DFT calculation (PBE) of a relaxed BaMgZr2 crystal.

abc: 4.967 4.967 8.924
angles: 90.00 90.00 90.00
Space group I-4m2 (No. 119)
Inequivalent atoms, fractional coordinates:
Ba1 0.000 0.000 0.000 (multiplicity 2)
Mg1 0.000 0.500 0.750 (multiplicity 2)
Zr1 0.000 0.000 0.500 (multiplicity 2)
Zr2 0.000 0.500 0.250 (multiplicity 2)

Calculated values
Total energy = -4.645 eV per atom
Total moment = 0.01 μB per formula unit
Fermi-level density of states = 6.22 states/eV/f.u.
Energy relative to the elements = 49.10 kJ/mol of atoms

---

Entry 11:
The following is a DFT calculation (PBE) of a relaxed BaMg3Zr crystal.

abc: 5.593 5.593 5.593
angles: 90.00 90.00 90.00
Space group Pm-3m (No. 221)
Inequivalent atoms, fractional coordinates:
Ba1 0.000 0.000 0.000 (multiplicity 1)
Mg1 0.000 0.000 0.500 (multiplicity 3)
Zr1 0.500 0.500 0.500 (multiplicity 1)

Calculated values
Total energy = -1.557 eV per atom
Total moment = 0.38 μB per formula unit
Fermi-level density of states = 3.74 states/eV/f.u.
Energy relative to the elements = 144.14 kJ/mol of atoms

---

Entry 12:
The following is a DFT calculation (PBE) of a relaxed BaMgZr2 crystal.

abc: 6.508 10.736 3.152
angles: 90.00 90.00 90.00
Space group Cmmm (No. 65)
Inequivalent atoms, fractional coordinates:
Ba1 0.000 0.000 0.000 (multiplicity 2)
Mg1 0.000 0.500 0.000 (multiplicity 2)
Zr1 0.250 0.250 0.500 (multiplicity 4)

Calculated values
Total energy = -4.578 eV per atom
Total moment = 0.00 μB per formula unit
Fermi-level density of states = 5.66 states/eV/f.u.
Energy relative to the elements = 55.52 kJ/mol of atoms